LiSm2SbO5 | PBE | relaxed

Computed properties:
Calculated volume (Å³/f.u.): 140.89
Uncorrected energy (eV/atom): -6.67
Uncorrected formation energy (eV/atom): -2.197

Unit cell a=6.7099 b=6.7099 c=6.2588 alpha=90.00 beta=90.00 gamma=90.00
Last column: nearest neighbours and their distance in Å.
Space group P4/mbm (No. 127)
Inequivalent atoms, fractional coordinates:
Li  0.0000  0.0000  0.0000 [2 per cell]  10 O 3.05-3.13, 4 Sb 3.35
Sm  0.1765  0.3235  0.5000 [4 per cell]  4 O 2.27-2.47
Sb  0.0000  0.5000  0.0000 [2 per cell]  4 O 2.13
O  0.0000  0.0000  0.5000 [2 per cell]  4 Sm 2.47
O  0.1437  0.6437  0.2605 [8 per cell]  1 Sb 2.13, 1 Sm 2.27